Mg2CuRuW (PBE-GGA, optimized geometry); DFT total energy = -0.31563 Ry/atom; formation enthalpy at 0 K = 1608.5 meV/atom; space-group type = P4/mmm, No. 123
1.0
-3.3160 -1.2270 3.0067
-1.0944 -3.5373 -2.6504
3.0498 -2.6527 2.2810
Ru Mg Cu W
1 2 1 1
Direct
0.0000 0.0000 0.0000
0.0000 0.0000 0.5000
0.5000 0.0000 0.0000
0.0000 0.5000 0.0000
0.5000 0.5000 0.5000